The following is a PBE-GGA calculation of crystalline InFeCoHg at its relaxed geometry, from the Open Quantum Materials Database.

Properties
volume	15.964	Å³ per atom
M_tot	3.6	Bohr magnetons per cell
E_tot	-4.22	eV per atom
space-group type	F-43m, No. 216
excess energy over the best structure of this formula in the dataset	0	meV/atom

Cell: 4.4865 4.4865 4.4865 Å, 60.00 60.00 60.00°
Last column: nearest neighbours and their distance in Å.
Fractional positions:
In 0.0000 0.0000 0.0000  4 Fe 2.75, 4 Co 2.75
Fe 0.7500 0.7500 0.7500  4 Hg 2.75, 4 In 2.75
Co 0.2500 0.2500 0.2500  4 Hg 2.75, 4 In 2.75
Hg 0.5000 0.5000 0.5000  4 Fe 2.75, 4 Co 2.75

***

The following is a PBE-GGA calculation of crystalline CoH8C2S2N4Cl2 at its relaxed geometry, from the Open Quantum Materials Database.

Properties
volume	12.604	Å³ per atom
M_tot	6.0	Bohr magnetons per cell
E_tot	-5.47	eV per atom
space-group type	Cc, No. 9

Cell: 6.9554 6.9554 10.7242 Å, 97.84 97.84 108.32°
Last column: nearest neighbours and their distance in Å.
Fractional positions:
Co 0.1838 0.8162 0.5000  2 Cl 2.24-2.26, 2 S 2.24-2.26
Co 0.8162 0.1838 0.0000  2 Cl 2.24-2.26, 2 S 2.24-2.26
H 0.1155 0.8000 0.8274  1 N 1.02
H 0.1630 0.5148 0.1322  1 N 1.02
H 0.2776 0.9414 0.9719  1 N 1.03
H 0.2981 0.7807 0.1510  1 N 1.02
H 0.3905 0.4398 0.3998  1 N 1.02
H 0.4009 0.5075 0.7675  1 N 1.02
H 0.4398 0.3905 0.8998  1 N 1.02
H 0.5075 0.4009 0.2675  1 N 1.02
H 0.5148 0.1630 0.6322  1 N 1.02
H 0.5831 0.6663 0.5851  1 N 1.02
H 0.6663 0.5831 0.0851  1 N 1.02
H 0.7807 0.2981 0.6510  1 N 1.02
H 0.8000 0.1155 0.3274  1 N 1.02
H 0.8178 0.8408 0.0902  1 N 1.02
H 0.8408 0.8178 0.5902  1 N 1.02
H 0.9414 0.2776 0.4719  1 N 1.03
C 0.1220 0.6354 0.9717  2 N 1.33
C 0.6193 0.6942 0.9205  2 N 1.33
C 0.6354 0.1220 0.4717  2 N 1.33
C 0.6942 0.6193 0.4205  2 N 1.33
S 0.4043 0.9606 0.3773  1 C 1.73
S 0.6935 0.8995 0.8432  1 C 1.72
S 0.8995 0.6935 0.3432  1 C 1.72
S 0.9606 0.4043 0.8773  1 C 1.73
N 0.1730 0.8040 0.9207  2 H 1.02-1.03
N 0.2004 0.6458 0.0941  2 H 1.02
N 0.4816 0.5152 0.8561  2 H 1.02
N 0.5152 0.4816 0.3561  2 H 1.02
N 0.6458 0.2004 0.5941  2 H 1.02
N 0.6996 0.7104 0.0433  2 H 1.02
N 0.7104 0.6996 0.5433  2 H 1.02
N 0.8040 0.1730 0.4207  2 H 1.02-1.03
Cl 0.0420 0.1746 0.1677  1 Co 2.24, 2 H 2.31-2.35
Cl 0.1746 0.0420 0.6677  1 Co 2.24, 2 H 2.31-2.35
Cl 0.2243 0.5406 0.5763  4 H 2.25-2.48, 1 Co 2.26
Cl 0.5406 0.2243 0.0763  4 H 2.25-2.48, 1 Co 2.26

***

The following is a PBE-GGA calculation of crystalline PtPbO3 at its relaxed geometry, from the Open Quantum Materials Database.

Properties
volume	15.778	Å³ per atom
M_tot	0.0	Bohr magnetons per cell
E_tot	-4.66	eV per atom
space-group type	P4/mmm, No. 123

Cell: 4.1326 4.1326 4.6191 Å, 90.00 90.00 90.00°
Last column: nearest neighbours and their distance in Å.
Fractional positions:
Pt 0.0000 0.0000 0.0000  4 O 2.07
Pb 0.5000 0.5000 0.5000  2 O 2.31
O 0.0000 0.5000 0.0000  2 O 2.07, 2 Pt 2.07
O 0.5000 0.0000 0.0000  2 O 2.07, 2 Pt 2.07
O 0.5000 0.5000 0.0000  4 O 2.07, 2 Pb 2.31

***

The following is a PBE-GGA calculation of crystalline Ta5Mo3 at its relaxed geometry, from the Open Quantum Materials Database.

Properties
volume	17.149	Å³ per atom
M_tot	0.0	Bohr magnetons per cell
E_tot	-11.64	eV per atom
space-group type	P4/mmm, No. 123
formation enthalpy at 0 K	-163	meV/atom

Cell: 3.2432 3.2432 13.0433 Å, 90.00 90.00 90.00°
Last column: nearest neighbours and their distance in Å.
Fractional positions:
Ta 0.0000 0.0000 0.0000  8 Mo 2.81
Ta 0.0000 0.0000 0.2434  4 Mo 2.77, 4 Ta 2.90
Ta 0.0000 0.0000 0.7566  4 Mo 2.77, 4 Ta 2.90
Ta 0.5000 0.5000 0.3792  4 Mo 2.78, 4 Ta 2.90
Ta 0.5000 0.5000 0.6208  4 Mo 2.78, 4 Ta 2.90
Mo 0.0000 0.0000 0.5000  8 Ta 2.78
Mo 0.5000 0.5000 0.1246  8 Ta 2.77-2.81
Mo 0.5000 0.5000 0.8754  8 Ta 2.77-2.81

***

The following is a PBE-GGA calculation of crystalline NaSiBPd at its relaxed geometry, from the Open Quantum Materials Database.

Properties
volume	13.662	Å³ per atom
E_tot	-4.04	eV per atom
space-group type	F-43m, No. 216
excess energy over the best structure of this formula in the dataset	38	meV/atom

Cell: 4.2596 4.2596 4.2596 Å, 60.00 60.00 60.00°
Last column: nearest neighbours and their distance in Å.
Fractional positions:
Na 0.0000 0.0000 0.0000  4 B 2.61, 4 Pd 2.61
Si 0.5000 0.5000 0.5000  4 B 2.61, 4 Pd 2.61
B 0.7500 0.7500 0.7500  4 Si 2.61, 4 Na 2.61
Pd 0.2500 0.2500 0.2500  4 Si 2.61, 4 Na 2.61

***

The following is a PBE-GGA calculation of crystalline CsOs3N5 at its relaxed geometry, from the Open Quantum Materials Database.

Properties
volume	17.129	Å³ per atom
M_tot	1.9	Bohr magnetons per cell
E_tot	-7.41	eV per atom
space-group type	P6/mmm, No. 191

Cell: 5.2632 5.2632 6.4261 Å, 90.00 90.00 120.00°
Last column: nearest neighbours and their distance in Å.
Fractional positions:
Cs 0.0000 0.0000 0.0000  14 N 3.21-3.58
Os 0.0000 0.5000 0.5000  4 N 2.01
Os 0.5000 0.0000 0.5000  4 N 2.01
Os 0.5000 0.5000 0.5000  4 N 2.01
N 0.0000 0.0000 0.5000  6 Os 2.63
N 0.3333 0.6667 0.2960  3 Os 2.01
N 0.3333 0.6667 0.7040  3 Os 2.01
N 0.6667 0.3333 0.2960  3 Os 2.01
N 0.6667 0.3333 0.7040  3 Os 2.01

***

The following is a PBE-GGA calculation of crystalline PuMoPt at its relaxed geometry, from the Open Quantum Materials Database.

Properties
volume	20.783	Å³ per atom
M_tot	0.1	Bohr magnetons per cell
E_tot	-9.70	eV per atom
space-group type	F-43m, No. 216
excess energy over the best structure of this formula in the dataset	0	meV/atom
formation enthalpy at 0 K	648	meV/atom

Cell: 4.4509 4.4509 4.4509 Å, 60.00 60.00 60.00°
Last column: nearest neighbours and their distance in Å.
Fractional positions:
Pu 0.0000 0.0000 0.0000  4 Mo 2.73
Mo 0.7500 0.7500 0.7500  4 Pu 2.73, 4 Pt 2.73
Pt 0.5000 0.5000 0.5000  4 Mo 2.73

***

The following is a PBE-GGA calculation of crystalline Nd3GaO6 at its relaxed geometry, from the Open Quantum Materials Database.

Properties
volume	14.753	Å³ per atom
M_tot	0.0	Bohr magnetons per cell
E_tot	-7.73	eV per atom
space-group type	Cmc2_1, No. 36

Cell: 7.3653 7.3653 5.5778 Å, 90.00 90.00 102.80°
Last column: nearest neighbours and their distance in Å.
Fractional positions:
Nd 0.1043 0.8957 0.5000  7 O 2.36-2.54
Nd 0.2017 0.4139 0.4561  5 O 2.30-2.46
Nd 0.4139 0.2017 0.9561  5 O 2.30-2.46
Nd 0.5861 0.7983 0.4561  5 O 2.30-2.46
Nd 0.7983 0.5861 0.9561  5 O 2.30-2.46
Nd 0.8957 0.1043 0.0000  7 O 2.36-2.54
Ga 0.3079 0.6921 0.9226  4 O 1.85-1.89
Ga 0.6921 0.3079 0.4226  4 O 1.85-1.89
O 0.0842 0.6052 0.7536  1 Ga 1.88
O 0.1459 0.1724 0.7260  4 Nd 2.30-2.36
O 0.1724 0.1459 0.2260  4 Nd 2.30-2.36
O 0.2838 0.7162 0.2506  1 Ga 1.85
O 0.3948 0.9158 0.7536  1 Ga 1.88
O 0.4592 0.5408 0.7910  1 Ga 1.89
O 0.5408 0.4592 0.2910  1 Ga 1.89
O 0.6052 0.0842 0.2536  1 Ga 1.88
O 0.7162 0.2838 0.7506  1 Ga 1.85
O 0.8276 0.8541 0.7260  4 Nd 2.30-2.36
O 0.8541 0.8276 0.2260  4 Nd 2.30-2.36
O 0.9158 0.3948 0.2536  1 Ga 1.88